The following is a GGA+U calculation of crystalline NaHfFeO2 at its relaxed geometry, from Alexandria.

Calculated values
**M_tot**: 2.998 μB/f.u.
**Space group**: P4/mmm, No. 123
**Final energy**: -25.31 eV/cell
**N(E_F)**: 1.7 states/eV per cell

a b c (Å): 4.102 4.153 4.102
angles (deg): 90.00 90.00 90.00
Last column: magnetic moment on the atom in μB.
Fractional positions:
O  0.000  0.000  0.500  0.07
O  0.500  0.000  0.000  0.07
Hf  0.500  0.500  0.500  -0.25
Na  0.000  0.000  0.000  0.00
Fe  0.000  0.500  0.000  3.06